1.
Ag7S2I2: relaxed, PBE.

CIF file:
```
data_Ag7S2I2
_space_group_name_H-M_alt 'P 1'
_space_group_IT_number 1
_cell_length_a 4.247
_cell_length_b 4.311
_cell_length_c 17.016
_cell_angle_alpha 80.17
_cell_angle_beta 92.07
_cell_angle_gamma 113.93
loop_
_space_group_symop_operation_xyz
'x,y,z'
loop_
_atom_site_label
_atom_site_fract_x
_atom_site_fract_y
_atom_site_fract_z
Ag1 0.022 0.666 0.685
Ag2 0.332 0.101 0.917
Ag3 0.115 0.905 0.370
Ag4 0.409 0.386 0.598
Ag5 0.219 0.008 0.142
Ag6 0.750 0.372 0.262
Ag7 0.691 0.642 0.022
S1 0.380 0.747 0.265
S2 0.062 0.266 0.019
I1 0.854 0.066 0.493
I2 0.590 0.977 0.788
```

Computed properties:
The total energy is -2.8202 eV/atom. As for the space group: No. 1. As for the formation energy from raw total energies: 26.5 meV per atom. As for the calculated volume: 25.49 Å³ per atom. Its energy above the most stable polymorph in this dataset is 50.2 meV per atom.

2.
Y2ZrP3: relaxed, PBE.

CIF file:
```
data_Y2ZrP3
_space_group_name_H-M_alt 'P 1'
_space_group_IT_number 1
_cell_length_a 8.734
_cell_length_b 8.734
_cell_length_c 8.734
_cell_angle_alpha 154.07
_cell_angle_beta 154.07
_cell_angle_gamma 37.00
loop_
_space_group_symop_operation_xyz
'x,y,z'
loop_
_atom_site_label
_atom_site_fract_x
_atom_site_fract_y
_atom_site_fract_z
Y1 0.667 0.667 0.000
Y2 0.333 0.333 0.000
Zr1 0.000 0.000 0.000
P1 0.500 0.500 0.000
P2 0.838 0.838 0.000
P3 0.162 0.162 0.000
```

Computed properties:
The total energy is -7.7932 eV/atom. As for the space group: No. 139. As for the calculated volume: 21.21 Å³ per atom. The value obtained for the formation energy is -1.509 eV/atom.

3.
CoAs2Pt: relaxed, PBE.

CIF file:
```
data_CoAs2Pt
_space_group_name_H-M_alt 'P 1'
_space_group_IT_number 1
_cell_length_a 4.296
_cell_length_b 4.296
_cell_length_c 3.330
_cell_angle_alpha 90.00
_cell_angle_beta 90.00
_cell_angle_gamma 90.06
loop_
_space_group_symop_operation_xyz
'x,y,z'
loop_
_atom_site_label
_atom_site_fract_x
_atom_site_fract_y
_atom_site_fract_z
As1 0.000 0.000 0.000
As2 0.500 0.500 0.000
Co1 0.500 0.000 0.500
Pt1 0.000 0.500 0.500
```

Computed properties:
The total energy is -5.5150 eV/atom. As for the space group: No. 123. As for the calculated volume: 15.36 Å³ per atom. The value obtained for the formation energy is 0.096 eV/atom. Its energy above the most stable polymorph in this dataset is 362.0 meV per atom.

4.
ScIn3As: relaxed, PBE.

CIF file:
```
data_ScIn3As
_space_group_name_H-M_alt 'P 1'
_space_group_IT_number 1
_cell_length_a 5.558
_cell_length_b 5.558
_cell_length_c 5.558
_cell_angle_alpha 90.00
_cell_angle_beta 90.00
_cell_angle_gamma 90.00
loop_
_space_group_symop_operation_xyz
'x,y,z'
loop_
_atom_site_label
_atom_site_fract_x
_atom_site_fract_y
_atom_site_fract_z
Sc1 0.000 0.000 0.000
As1 0.500 0.500 0.500
In1 0.000 0.500 0.000
In2 0.000 0.000 0.500
In3 0.500 0.000 0.000
```

Computed properties:
The total energy is -3.1208 eV/atom. As for the space group: No. 221. As for the calculated volume: 34.34 Å³ per atom. The value obtained for the formation energy is 0.718 eV/atom. Its energy above the most stable polymorph in this dataset is 277.1 meV per atom.

5.
Pm2AsCl: relaxed, PBE.

CIF file:
```
data_Pm2AsCl
_space_group_name_H-M_alt 'P 1'
_space_group_IT_number 1
_cell_length_a 4.225
_cell_length_b 4.225
_cell_length_c 7.185
_cell_angle_alpha 72.90
_cell_angle_beta 72.90
_cell_angle_gamma 60.00
loop_
_space_group_symop_operation_xyz
'x,y,z'
loop_
_atom_site_label
_atom_site_fract_x
_atom_site_fract_y
_atom_site_fract_z
As1 0.500 0.500 0.500
Cl1 0.000 0.000 0.000
Pm1 0.242 0.242 0.275
Pm2 0.758 0.758 0.725
```

Computed properties:
The total energy is -5.5181 eV/atom. As for the space group: No. 166. As for the formation energy from raw total energies: -1518.8 meV per atom. As for the calculated volume: 26.12 Å³ per atom. Its energy above the most stable polymorph in this dataset is 0.0 meV per atom.

6.
Dy2InCu12Ni3: relaxed, PBE.

CIF file:
```
data_Dy2InCu12Ni3
_space_group_name_H-M_alt 'P 1'
_space_group_IT_number 1
_cell_length_a 6.430
_cell_length_b 6.430
_cell_length_c 6.430
_cell_angle_alpha 83.42
_cell_angle_beta 83.42
_cell_angle_gamma 83.42
loop_
_space_group_symop_operation_xyz
'x,y,z'
loop_
_atom_site_label
_atom_site_fract_x
_atom_site_fract_y
_atom_site_fract_z
Dy1 0.741 0.741 0.741
Dy2 0.259 0.259 0.259
In1 0.000 0.000 0.000
Cu1 0.420 0.420 0.855
Cu2 0.796 0.796 0.294
Cu3 0.294 0.796 0.796
Cu4 0.855 0.420 0.420
Cu5 0.796 0.294 0.796
Cu6 0.420 0.855 0.420
Cu7 0.580 0.580 0.145
Cu8 0.204 0.204 0.706
Cu9 0.706 0.204 0.204
Cu10 0.145 0.580 0.580
Cu11 0.204 0.706 0.204
Cu12 0.580 0.145 0.580
Ni1 0.500 0.000 0.000
Ni2 0.000 0.500 0.000
Ni3 0.000 0.000 0.500
```

Computed properties:
The total energy is -4.3098 eV/atom. As for the space group: No. 166. As for the calculated volume: 14.50 Å³ per atom. The value obtained for the formation energy is 0.048 eV/atom.

7.
EuAl4Bi: relaxed, PBE.

CIF file:
```
data_EuAl4Bi
_space_group_name_H-M_alt 'P 1'
_space_group_IT_number 1
_cell_length_a 5.712
_cell_length_b 5.712
_cell_length_c 5.712
_cell_angle_alpha 60.00
_cell_angle_beta 60.00
_cell_angle_gamma 60.00
loop_
_space_group_symop_operation_xyz
'x,y,z'
loop_
_atom_site_label
_atom_site_fract_x
_atom_site_fract_y
_atom_site_fract_z
Eu1 0.000 0.000 0.000
Bi1 0.250 0.250 0.250
Al1 0.625 0.625 0.125
Al2 0.625 0.125 0.625
Al3 0.625 0.625 0.625
Al4 0.125 0.625 0.625
```

Computed properties:
The total energy is -4.9632 eV/atom. As for the space group: No. 216. As for the calculated volume: 21.96 Å³ per atom. The value obtained for the formation energy is -0.109 eV/atom.

8.
P2AuNO: relaxed, PBE.

CIF file:
```
data_P2AuNO
_space_group_name_H-M_alt 'P 1'
_space_group_IT_number 1
_cell_length_a 4.800
_cell_length_b 4.800
_cell_length_c 3.885
_cell_angle_alpha 90.00
_cell_angle_beta 90.00
_cell_angle_gamma 90.00
loop_
_space_group_symop_operation_xyz
'x,y,z'
loop_
_atom_site_label
_atom_site_fract_x
_atom_site_fract_y
_atom_site_fract_z
P1 0.000 0.500 0.000
P2 0.500 0.000 0.000
Au1 0.000 0.000 0.000
O1 0.000 0.000 0.500
N1 0.500 0.500 0.500
```

Computed properties:
The total energy is -3.4818 eV/atom. As for the space group: No. 123. As for the formation energy from raw total energies: 1994.3 meV per atom. As for the calculated volume: 17.90 Å³ per atom. Its energy above the most stable polymorph in this dataset is 1017.0 meV per atom.

9.
LiMg2O: relaxed, PBE.

CIF file:
```
data_LiMg2O
_space_group_name_H-M_alt 'P 1'
_space_group_IT_number 1
_cell_length_a 6.323
_cell_length_b 6.323
_cell_length_c 5.882
_cell_angle_alpha 57.49
_cell_angle_beta 57.49
_cell_angle_gamma 90.00
loop_
_space_group_symop_operation_xyz
'x,y,z'
loop_
_atom_site_label
_atom_site_fract_x
_atom_site_fract_y
_atom_site_fract_z
Mg1 0.757 0.125 0.250
Mg2 0.993 0.625 0.250
Mg3 0.375 0.243 0.750
Mg4 0.875 0.007 0.750
O1 0.000 0.000 0.000
O2 0.750 0.250 0.500
Li1 0.500 0.500 0.000
Li2 0.250 0.750 0.500
```

Computed properties:
The total energy is -3.5110 eV/atom. As for the space group: No. 122. As for the formation energy from raw total energies: -995.7 meV per atom. As for the calculated volume: 19.10 Å³ per atom.

10.
AgP2Ir: relaxed, PBE.

CIF file:
```
data_AgP2Ir
_space_group_name_H-M_alt 'P 1'
_space_group_IT_number 1
_cell_length_a 2.862
_cell_length_b 2.862
_cell_length_c 7.993
_cell_angle_alpha 90.00
_cell_angle_beta 90.00
_cell_angle_gamma 90.00
loop_
_space_group_symop_operation_xyz
'x,y,z'
loop_
_atom_site_label
_atom_site_fract_x
_atom_site_fract_y
_atom_site_fract_z
Ag1 0.000 0.000 0.505
Ir1 0.500 0.500 0.787
P1 0.000 0.000 0.946
P2 0.500 0.500 0.262
```

Computed properties:
The total energy is -5.4275 eV/atom. As for the space group: No. 99. As for the calculated volume: 16.37 Å³ per atom. The value obtained for the formation energy is 0.206 eV/atom. Its energy above the most stable polymorph in this dataset is 253.2 meV per atom.

- Which of these has the lowest calculated volume?
  Dy2InCu12Ni3